Here is an optimized crystal structure of WCIO2 from the Alexandria database. Energies are from PBE with a Hubbard U.

Calculated values
Density: 5.31 g/cm³
Space-group type: P4/mmm, No. 123
E: -0.3938 Ry/atom

a = 3.834 Å, b = 3.834 Å, c = 7.543 Å
α = 90.00°, β = 90.00°, γ = 90.00°
Last column: magnetic moment on the atom in μB.
Positions (direct):
I 0.000 0.000 0.500  -0.01
C 0.500 0.500 0.500  0.59
O 0.000 0.500 0.000  -0.14
O 0.500 0.000 0.000  -0.14
W 0.000 0.000 0.000  1.77